# Nd2CuRu | Alexandria via LeMat-Bulk | SCAN | PBEsol geometry
data_Nd2CuRu
_cell_length_a 4.931
_cell_length_b 4.931
_cell_length_c 4.931
_cell_angle_alpha 60.00
_cell_angle_beta 60.00
_cell_angle_gamma 60.00
_space_group_name_H-M_alt 'P 1'
_space_group_IT_number 1
loop_
_space_group_symop_operation_xyz
'x,y,z'
loop_
_atom_site_label
_atom_site_type_symbol
_atom_site_fract_x
_atom_site_fract_y
_atom_site_fract_z
Nd1 Nd 0.250 0.250 0.250
Nd2 Nd 0.750 0.750 0.750
Cu1 Cu 0.000 0.000 0.000
Ru1 Ru 0.500 0.500 0.500
# - Formation enthalpy at 0 K: -20.25 kJ/mol of atoms
# - Size of the total moment: 0.0 μB/cell

---

# Ag5Sb | Alexandria via LeMat-Bulk | SCAN | PBEsol geometry
data_Ag5Sb
_cell_length_a 5.118
_cell_length_b 5.118
_cell_length_c 4.705
_cell_angle_alpha 90.00
_cell_angle_beta 90.00
_cell_angle_gamma 120.00
_space_group_name_H-M_alt 'P 1'
_space_group_IT_number 1
loop_
_space_group_symop_operation_xyz
'x,y,z'
loop_
_atom_site_label
_atom_site_type_symbol
_atom_site_fract_x
_atom_site_fract_y
_atom_site_fract_z
Ag1 Ag 0.000 0.342 0.000
Ag2 Ag 0.333 0.667 0.500
Ag3 Ag 0.342 0.000 0.000
Ag4 Ag 0.658 0.658 0.000
Ag5 Ag 0.667 0.333 0.500
Sb1 Sb 0.000 0.000 0.500
# - Uncorrected formation energy: 0.03 eV/atom
# - Energy above the most stable polymorph in this dataset: 6 meV per atom
# - Size of the total moment: 0.0 μB/cell

---

# Ni2TeIF | Alexandria via LeMat-Bulk | SCAN | PBEsol geometry
data_Ni2TeIF
_cell_length_a 4.206
_cell_length_b 4.206
_cell_length_c 5.427
_cell_angle_alpha 90.00
_cell_angle_beta 90.00
_cell_angle_gamma 90.00
_space_group_name_H-M_alt 'P 1'
_space_group_IT_number 1
loop_
_space_group_symop_operation_xyz
'x,y,z'
loop_
_atom_site_label
_atom_site_type_symbol
_atom_site_fract_x
_atom_site_fract_y
_atom_site_fract_z
Ni1 Ni 0.000 0.500 0.000
Ni2 Ni 0.500 0.000 0.000
Te1 Te 0.000 0.000 0.500
I1 I 0.500 0.500 0.500
F1 F 0.000 0.000 0.000
# - Uncorrected formation energy: 0.43 eV/atom
# - Size of the total moment: 2.0 μB/cell

---

# LaOsO2 | Alexandria via LeMat-Bulk | SCAN | PBEsol geometry
data_LaOsO2
_cell_length_a 6.111
_cell_length_b 6.111
_cell_length_c 6.111
_cell_angle_alpha 36.76
_cell_angle_beta 36.76
_cell_angle_gamma 36.76
_space_group_name_H-M_alt 'P 1'
_space_group_IT_number 1
loop_
_space_group_symop_operation_xyz
'x,y,z'
loop_
_atom_site_label
_atom_site_type_symbol
_atom_site_fract_x
_atom_site_fract_y
_atom_site_fract_z
La1 La 0.000 0.000 0.000
Os1 Os 0.500 0.500 0.500
O1 O 0.387 0.387 0.387
O2 O 0.613 0.613 0.613
# - Uncorrected formation energy: -1.69 eV/atom
# - Size of the total moment: 3.0 μB/cell

---

# MnSb2Pb | Alexandria via LeMat-Bulk | SCAN | PBEsol geometry
data_MnSb2Pb
_cell_length_a 9.715
_cell_length_b 9.715
_cell_length_c 9.715
_cell_angle_alpha 20.00
_cell_angle_beta 20.00
_cell_angle_gamma 20.00
_space_group_name_H-M_alt 'P 1'
_space_group_IT_number 1
loop_
_space_group_symop_operation_xyz
'x,y,z'
loop_
_atom_site_label
_atom_site_type_symbol
_atom_site_fract_x
_atom_site_fract_y
_atom_site_fract_z
Mn1 Mn 0.000 0.000 0.000
Sb1 Sb 0.270 0.270 0.270
Sb2 Sb 0.730 0.730 0.730
Pb1 Pb 0.500 0.500 0.500
# - Uncorrected formation energy: 0.03 eV/atom
# - Size of the total moment: 2.7 μB/cell

---

# Tl2Cd | Alexandria via LeMat-Bulk | SCAN | PBEsol geometry
data_Tl2Cd
_cell_length_a 7.796
_cell_length_b 7.796
_cell_length_c 5.248
_cell_angle_alpha 90.00
_cell_angle_beta 90.00
_cell_angle_gamma 150.63
_space_group_name_H-M_alt 'P 1'
_space_group_IT_number 1
loop_
_space_group_symop_operation_xyz
'x,y,z'
loop_
_atom_site_label
_atom_site_type_symbol
_atom_site_fract_x
_atom_site_fract_y
_atom_site_fract_z
Tl1 Tl 0.084 0.916 0.750
Tl2 Tl 0.238 0.762 0.250
Tl3 Tl 0.762 0.238 0.750
Tl4 Tl 0.916 0.084 0.250
Cd1 Cd 0.425 0.575 0.750
Cd2 Cd 0.575 0.425 0.250
# - Formation enthalpy at 0 K: 6.41 kJ/mol of atoms
# - Energy above the most stable polymorph in this dataset: 31 meV per atom
# - Size of the total moment: 0.0 μB/cell

---

# SiNi2Pb | Alexandria via LeMat-Bulk | SCAN | PBEsol geometry
data_SiNi2Pb
_cell_length_a 4.285
_cell_length_b 4.285
_cell_length_c 3.147
_cell_angle_alpha 90.00
_cell_angle_beta 90.00
_cell_angle_gamma 90.00
_space_group_name_H-M_alt 'P 1'
_space_group_IT_number 1
loop_
_space_group_symop_operation_xyz
'x,y,z'
loop_
_atom_site_label
_atom_site_type_symbol
_atom_site_fract_x
_atom_site_fract_y
_atom_site_fract_z
Si1 Si 0.000 0.000 0.000
Ni1 Ni 0.000 0.500 0.500
Ni2 Ni 0.500 0.000 0.500
Pb1 Pb 0.500 0.500 0.000
# - Uncorrected formation energy: 0.39 eV/atom
# - Energy above the most stable polymorph in this dataset: 446 meV per atom
# - Size of the total moment: 0.0 μB/cell

---

# Cr3Mo5 | Alexandria via LeMat-Bulk | SCAN | PBEsol geometry
data_Cr3Mo5
_cell_length_a 5.239
_cell_length_b 5.239
_cell_length_c 4.268
_cell_angle_alpha 90.00
_cell_angle_beta 90.00
_cell_angle_gamma 109.52
_space_group_name_H-M_alt 'P 1'
_space_group_IT_number 1
loop_
_space_group_symop_operation_xyz
'x,y,z'
loop_
_atom_site_label
_atom_site_type_symbol
_atom_site_fract_x
_atom_site_fract_y
_atom_site_fract_z
Cr1 Cr 0.000 0.000 0.000
Cr2 Cr 0.248 0.752 0.500
Cr3 Cr 0.752 0.248 0.500
Mo1 Mo 0.000 0.500 0.000
Mo2 Mo 0.244 0.244 0.500
Mo3 Mo 0.500 0.000 0.000
Mo4 Mo 0.500 0.500 0.000
Mo5 Mo 0.756 0.756 0.500
# - Formation enthalpy at 0 K: 6.58 kJ/mol of atoms
# - Energy above the most stable polymorph in this dataset: 0 meV per atom
# - Size of the total moment: 0.0 μB/cell

---

# MnSbTeI2 | Alexandria via LeMat-Bulk | SCAN | PBEsol geometry
data_MnSbTeI2
_cell_length_a 5.873
_cell_length_b 5.873
_cell_length_c 5.771
_cell_angle_alpha 90.00
_cell_angle_beta 90.00
_cell_angle_gamma 90.00
_space_group_name_H-M_alt 'P 1'
_space_group_IT_number 1
loop_
_space_group_symop_operation_xyz
'x,y,z'
loop_
_atom_site_label
_atom_site_type_symbol
_atom_site_fract_x
_atom_site_fract_y
_atom_site_fract_z
Mn1 Mn 0.000 0.000 0.000
Sb1 Sb 0.500 0.500 0.500
Te1 Te 0.500 0.500 0.000
I1 I 0.000 0.500 0.500
I2 I 0.500 0.000 0.500
# - Uncorrected formation energy: 0.30 eV/atom
# - Size of the total moment: 6.0 μB/cell

---

# GaSeCl | Alexandria via LeMat-Bulk | SCAN | PBEsol geometry
data_GaSeCl
_cell_length_a 5.517
_cell_length_b 14.701
_cell_length_c 3.778
_cell_angle_alpha 90.00
_cell_angle_beta 90.00
_cell_angle_gamma 90.00
_space_group_name_H-M_alt 'P 1'
_space_group_IT_number 1
loop_
_space_group_symop_operation_xyz
'x,y,z'
loop_
_atom_site_label
_atom_site_type_symbol
_atom_site_fract_x
_atom_site_fract_y
_atom_site_fract_z
Ga1 Ga 0.026 0.190 0.000
Ga2 Ga 0.474 0.690 0.500
Ga3 Ga 0.526 0.310 0.500
Ga4 Ga 0.974 0.810 0.000
Se1 Se 0.249 0.832 0.500
Se2 Se 0.251 0.332 0.000
Se3 Se 0.749 0.668 0.000
Se4 Se 0.751 0.168 0.500
Cl1 Cl 0.230 0.576 0.500
Cl2 Cl 0.270 0.076 0.000
Cl3 Cl 0.730 0.924 0.000
Cl4 Cl 0.770 0.424 0.500
# - Uncorrected formation energy: -0.94 eV/atom
# - Size of the total moment: 0.0 μB/cell

---

# SiMoW | Alexandria via LeMat-Bulk | SCAN | PBEsol geometry
data_SiMoW
_cell_length_a 6.433
_cell_length_b 6.248
_cell_length_c 2.756
_cell_angle_alpha 81.22
_cell_angle_beta 73.73
_cell_angle_gamma 25.05
_space_group_name_H-M_alt 'P 1'
_space_group_IT_number 1
loop_
_space_group_symop_operation_xyz
'x,y,z'
loop_
_atom_site_label
_atom_site_type_symbol
_atom_site_fract_x
_atom_site_fract_y
_atom_site_fract_z
Si1 Si 0.000 0.000 0.000
Mo1 Mo 0.659 0.659 0.341
W1 W 0.338 0.338 0.662
# - Uncorrected formation energy: 0.05 eV/atom
# - Size of the total moment: 0.0 μB/cell

---

# ZrPW2 | Alexandria via LeMat-Bulk | SCAN | PBEsol geometry
data_ZrPW2
_cell_length_a 3.194
_cell_length_b 4.245
_cell_length_c 5.013
_cell_angle_alpha 90.00
_cell_angle_beta 107.37
_cell_angle_gamma 90.00
_space_group_name_H-M_alt 'P 1'
_space_group_IT_number 1
loop_
_space_group_symop_operation_xyz
'x,y,z'
loop_
_atom_site_label
_atom_site_type_symbol
_atom_site_fract_x
_atom_site_fract_y
_atom_site_fract_z
Zr1 Zr 0.000 0.000 0.000
P1 P 0.561 0.500 0.149
W1 W 0.265 0.500 0.583
W2 W 0.682 0.000 0.469
# - Formation enthalpy at 0 K: -11.42 kJ/mol of atoms
# - Size of the total moment: 0.0 μB/cell

---

# Be5Fe | Alexandria via LeMat-Bulk | SCAN | PBEsol geometry
data_Be5Fe
_cell_length_a 4.088
_cell_length_b 4.088
_cell_length_c 4.088
_cell_angle_alpha 60.00
_cell_angle_beta 60.00
_cell_angle_gamma 60.00
_space_group_name_H-M_alt 'P 1'
_space_group_IT_number 1
loop_
_space_group_symop_operation_xyz
'x,y,z'
loop_
_atom_site_label
_atom_site_type_symbol
_atom_site_fract_x
_atom_site_fract_y
_atom_site_fract_z
Be1 Be 0.000 0.000 0.000
Be2 Be 0.376 0.376 0.376
Be3 Be 0.376 0.376 0.872
Be4 Be 0.376 0.872 0.376
Be5 Be 0.872 0.376 0.376
Fe1 Fe 0.750 0.750 0.750
# - Formation enthalpy at 0 K: -6.77 kJ/mol of atoms
# - Size of the total moment: 1.7 μB/cell

---

# Ba3Mg2 | Alexandria via LeMat-Bulk | SCAN | PBEsol geometry
data_Ba3Mg2
_cell_length_a 6.033
_cell_length_b 6.033
_cell_length_c 7.422
_cell_angle_alpha 90.00
_cell_angle_beta 90.00
_cell_angle_gamma 120.00
_space_group_name_H-M_alt 'P 1'
_space_group_IT_number 1
loop_
_space_group_symop_operation_xyz
'x,y,z'
loop_
_atom_site_label
_atom_site_type_symbol
_atom_site_fract_x
_atom_site_fract_y
_atom_site_fract_z
Ba1 Ba 0.000 0.000 0.000
Ba2 Ba 0.333 0.667 0.342
Ba3 Ba 0.667 0.333 0.658
Mg1 Mg 0.333 0.667 0.863
Mg2 Mg 0.667 0.333 0.137
# - Formation enthalpy at 0 K: 3.46 kJ/mol of atoms
# - Size of the total moment: 0.0 μB/cell

---

Computed values of calculated volume (unit: A^3/atom) for the preceding records, in sequence: 21.20 17.79 19.20 18.30 23.46 26.07 14.44 13.80 39.81 25.54 14.54 16.21 8.05 46.79.